Version w
First-principles (PBE) data for a relaxed Y3HfBr crystal, as listed in the Alexandria database.

DOS at the Fermi energy: 2.21 states/eV/cell
space group: No. 221

The structure in extended XYZ format:
```
5
Lattice="5.672 0.000 0.000 0.000 5.672 0.000 0.000 0.000 5.672" Properties=species:S:1:pos:R:3 pbc="T T T"
Y 0.000 0.000 2.836
Y 0.000 2.836 0.000
Y 2.836 0.000 0.000
Hf 0.000 0.000 0.000
Br 2.836 2.836 2.836
```



Version x
First-principles (PBE) data for a relaxed Y3HfBr crystal, as listed in the Alexandria database.

DOS at the Fermi energy: 6.10 states/eV/cell
space group: No. 221

The structure in extended XYZ format:
```
5
Lattice="5.323 0.000 0.000 0.000 5.323 0.000 0.000 0.000 5.323" Properties=species:S:1:pos:R:3 pbc="T T T"
Y 0.000 0.000 2.662
Y 0.000 2.662 0.000
Y 2.662 0.000 0.000
Hf 2.662 2.662 2.662
Br 0.000 0.000 0.000
```



Relative energy table, unit kJ/mol of atoms: version w 45.5; version x 0.0



Version w
First-principles (PBE) data for a relaxed HfZn3Br crystal, as listed in the Alexandria database.

DOS at the Fermi energy: 3.81 states/eV/cell
space group: No. 221

The structure in extended XYZ format:
```
5
Lattice="5.435 0.000 0.000 0.000 5.435 0.000 0.000 0.000 5.435" Properties=species:S:1:pos:R:3 pbc="T T T"
Hf 0.000 0.000 0.000
Zn 0.000 0.000 2.717
Zn 0.000 2.717 0.000
Zn 2.717 0.000 0.000
Br 2.717 2.717 2.717
```



Version x
First-principles (PBE) data for a relaxed HfZn3Br crystal, as listed in the Alexandria database.

DOS at the Fermi energy: 6.08 states/eV/cell
space group: No. 221

The structure in extended XYZ format:
```
5
Lattice="4.918 0.000 0.000 0.000 4.918 0.000 0.000 0.000 4.918" Properties=species:S:1:pos:R:3 pbc="T T T"
Hf 0.000 0.000 0.000
Zn 0.000 2.459 2.459
Zn 2.459 0.000 2.459
Zn 2.459 2.459 0.000
Br 2.459 2.459 2.459
```



Relative energy table, unit kJ/mol of atoms: version w 0.0; version x 30.6



Version w
First-principles (PBE) data for a relaxed HfZnBr2 crystal, as listed in the Alexandria database.

DOS at the Fermi energy: 1.35 states/eV/cell
space group: No. 166

The structure in extended XYZ format:
```
4
Lattice="1.699 0.981 11.274 -1.699 0.981 11.274 0.000 -1.962 11.274" Properties=species:S:1:pos:R:3 pbc="T T T"
Hf 0.000 0.000 0.000
Zn 0.000 0.000 16.910
Br 0.000 0.000 13.210
Br 0.000 0.000 20.611
```



Version x
First-principles (PBE) data for a relaxed HfZnBr2 crystal, as listed in the Alexandria database.

DOS at the Fermi energy: 6.52 states/eV/cell
space group: No. 122

The structure in extended XYZ format:
```
8
Lattice="-4.785 4.785 2.818 4.785 -4.785 2.818 4.785 4.785 -2.818" Properties=species:S:1:pos:R:3 pbc="T T T"
Hf 0.000 0.000 0.000
Hf 0.000 4.785 1.409
Zn 4.785 0.000 1.409
Zn 0.000 0.000 2.818
Br -0.946 2.393 0.704
Br 2.393 3.839 2.113
Br 0.946 7.178 0.704
Br -2.393 5.732 2.113
```



Relative energy table, unit kJ/mol of atoms: version w 0.0; version x 26.0